! GGA-PBE Ho3TlPd, optimized geometry; values from VASP
&SYSTEM
  ibrav = 0, nat = 20, ntyp = 3
/
ATOMIC_SPECIES
Ho 164.93 Ho.upf
Tl 204.38 Tl.upf
Pd 106.42 Pd.upf
CELL_PARAMETERS angstrom
-2.512 6.207 -3.260
-7.325 -0.496 4.696
2.414 4.641 6.971
ATOMIC_POSITIONS crystal
Ho 0.594 0.806 0.971
Ho 0.906 0.029 0.194
Ho 0.406 0.194 0.029
Ho 0.094 0.971 0.806
Ho 0.784 0.433 0.067
Ho 0.716 0.933 0.567
Ho 0.216 0.567 0.933
Ho 0.284 0.067 0.433
Ho 0.594 0.529 0.694
Ho 0.906 0.306 0.471
Ho 0.406 0.471 0.306
Ho 0.094 0.694 0.529
Tl 0.250 0.818 0.182
Tl 0.750 0.182 0.818
Tl 0.250 0.318 0.682
Tl 0.750 0.682 0.318
Pd 0.884 0.690 0.810
Pd 0.616 0.190 0.310
Pd 0.116 0.310 0.190
Pd 0.384 0.810 0.690
! Density: 9.60 g/cm3
! Calculated formation energy: -2.08 eV/f.u.
! Crystal system: orthorhombic

! GGA-PBE SbMoOs2, optimized geometry; values from VASP
&SYSTEM
  ibrav = 0, nat = 4, ntyp = 3
/
ATOMIC_SPECIES
Mo 95.94 Mo.upf
Os 190.23 Os.upf
Sb 121.76 Sb.upf
CELL_PARAMETERS angstrom
-2.348 1.550 0.510
0.635 -1.962 1.980
5.153 6.297 4.586
ATOMIC_POSITIONS crystal
Mo 0.500 0.500 0.750
Os 0.000 0.000 0.975
Os 0.000 0.000 0.525
Sb 0.500 0.500 0.250
! ΔE_f (raw): 0.75 eV/atom
! Density: 14.41 g/cm3
! Crystal system: orthorhombic